No. 1
ZnRe2As | GGA-PBE | relaxed

The value obtained for the calculated formation energy is 1.82 eV/f.u. The density is 13.88 g/cm³. The value obtained for the relative energy among the computed polymorphs is 311 meV per atom. Its density of states at the Fermi level is 0.5150 states/eV/atom.

abc: 4.4267 4.4267 4.4267
angles: 60.00 60.00 60.00
Atoms (fractional coordinates):
Re 0.0000 0.0000 0.0000
Re 0.2500 0.2500 0.2500
As 0.5000 0.5000 0.5000
Zn 0.7500 0.7500 0.7500

=====

No. 2
LaPrBiSe | GGA-PBE | relaxed

The density is 7.28 g/cm³. For the formation energy without anion corrections, the calculation gives -1.4021 eV/atom. Its density of states at the Fermi level is 0.3928 states/eV/atom.

abc: 4.5169 4.5163 6.3444
angles: 90.02 90.00 90.00
Atoms (fractional coordinates):
La 0.5000 0.3914 0.0928
Pr 0.0000 0.8917 0.5922
Bi 0.0000 0.8914 0.0922
Se 0.5000 0.3917 0.5926

=====

No. 3
AlGe3Rh | GGA-PBE | relaxed

The value obtained for the calculated formation energy is 1.45 eV/f.u. The density is 5.23 g/cm³. The value obtained for the relative energy among the computed polymorphs is 0 meV per atom. Its density of states at the Fermi level is 0.4853 states/eV/atom.

abc: 4.7979 4.7979 4.7979
angles: 90.00 90.00 90.00
Atoms (fractional coordinates):
Al 0.5000 0.5000 0.5000
Ge 0.5000 0.0000 0.0000
Ge 0.0000 0.0000 0.5000
Ge 0.0000 0.5000 0.0000
Rh 0.0000 0.0000 0.0000

=====

No. 4
Pr3Nd4Y3 | GGA-PBE | relaxed

The value obtained for the calculated formation energy is 1.00 eV/f.u. The density is 6.00 g/cm³. Its density of states at the Fermi level is 1.0031 states/eV/atom.

abc: 3.8371 9.5565 9.5565
angles: 90.64 90.00 90.00
Atoms (fractional coordinates):
Pr 0.5000 0.3305 0.3311
Pr 0.5000 0.6689 0.6695
Pr 0.5000 0.8306 0.1694
Nd 0.0000 0.3684 0.6316
Nd 0.0000 0.1312 0.1292
Nd 0.0000 0.6318 0.3682
Nd 0.0000 0.8708 0.8688
Y 0.0000 0.0029 0.5052
Y 0.5000 0.1701 0.8299
Y 0.0000 0.4948 0.9971

=====

No. 5
TlSbAu2 | GGA-PBE | relaxed

The density is 12.65 g/cm³. The value obtained for the relative energy among the computed polymorphs is 56 meV per atom. For the formation energy without anion corrections, the calculation gives -0.0119 eV/atom. Its density of states at the Fermi level is 0.5440 states/eV/atom.

abc: 5.8787 5.8787 4.1337
angles: 90.00 90.00 41.41
Atoms (fractional coordinates):
Au 0.9689 0.9689 0.1250
Au 0.7774 0.7774 0.6250
Sb 0.5182 0.5182 0.6250
Tl 0.2355 0.2355 0.1250

=====

No. 6
Er8Ga3Se4S | GGA-PBE | relaxed

The density is 8.29 g/cm³. For the formation energy without anion corrections, the calculation gives -1.3270 eV/atom. Its density of states at the Fermi level is 0.3302 states/eV/atom.

abc: 7.9908 8.2707 7.9904
angles: 118.88 120.00 90.00
Atoms (fractional coordinates):
Er 0.2518 0.2600 0.0059
Er 0.7540 0.2599 0.5080
Er 0.2459 0.7400 0.9941
Er 0.7482 0.7400 0.9941
Er 0.2500 0.2499 0.4999
Er 0.7541 0.2600 0.0059
Er 0.2460 0.7401 0.4920
Er 0.7500 0.7501 0.5001
Ga 0.5000 0.5000 0.5000
Ga 0.5000 0.5000 0.0000
Ga 0.0000 0.5000 0.5000
S 0.0000 0.5000 0.0000
Se 0.5000 0.0000 0.5000
Se 0.0000 0.0000 0.0000
Se 0.0000 0.0000 0.5000
Se 0.5000 0.0000 0.0000